No. 1
## InTe2MoI (PBE)

Data for crystalline InTe2MoI at its relaxed geometry.

**Polymorph energy (0 for the lowest one)**: 0.0000 eV/atom
**SG**: No. 123

Cell and atoms, written as extended XYZ:
```
5
Lattice="-1.1258 0.2309 -5.1487 -4.6100 -2.4014 0.9003 -2.6117 5.3173 0.8095" Properties=species:S:1:pos:R:3 pbc="T T T"
I -1.3059 2.6586 0.4047
Mo 0.0000 0.0000 0.0000
Te -2.3050 -1.2007 0.4501
Te -0.5629 0.1154 -2.5744
In -4.1738 1.5734 -1.7195
```

***

No. 2
## InTe2MoI (PBE)

Data for crystalline InTe2MoI at its relaxed geometry.

**Polymorph energy (0 for the lowest one)**: 0.8140 eV/atom
**SG**: No. 123

Cell and atoms, written as extended XYZ:
```
5
Lattice="-3.7188 4.2981 0.0710 -3.1845 -2.6915 -3.8630 -2.9468 -2.6199 4.2546" Properties=species:S:1:pos:R:3 pbc="T T T"
I -1.4734 -1.3100 2.1273
Mo -4.9250 -0.5066 0.2314
Te -1.5923 -1.3457 -1.9315
Te -1.8594 2.1490 0.0355
In 0.0000 0.0000 0.0000
```

***

No. 3
## InI2N2 (PBE)

Data for crystalline InI2N2 at its relaxed geometry.

**Polymorph energy (0 for the lowest one)**: 0.0000 eV/atom
**SG**: No. 12

Cell and atoms, written as extended XYZ:
```
5
Lattice="-0.7682 4.2806 0.2151 -1.8426 -2.3914 -3.1503 -9.4953 -2.0416 6.8583" Properties=species:S:1:pos:R:3 pbc="T T T"
In 0.0000 0.0000 0.0000
I -2.6296 1.7306 0.2202
I -9.4765 -1.8831 3.7029
N -6.8332 0.9535 0.6580
N -5.2729 -1.1060 3.2651
```

***

No. 4
## InIN (PBE)

Data for crystalline InIN at its relaxed geometry.

**SG**: No. 2

Cell and atoms, written as extended XYZ:
```
6
Lattice="-1.8272 3.0790 -3.7946 -2.7662 -0.5799 2.5657 7.1976 6.7065 2.9026" Properties=species:S:1:pos:R:3 pbc="T T T"
In -2.4220 4.2787 -0.6482
In 0.8797 4.2414 0.0256
I -3.3711 0.8592 0.8632
I 3.6547 4.5821 2.3082
N 1.8046 5.5504 -1.5208
N -0.5813 3.5496 -1.6677
```

***

No. 5
## InI2N2 (PBE)

Data for crystalline InI2N2 at its relaxed geometry.

**Polymorph energy (0 for the lowest one)**: 1.6777 eV/atom
**SG**: No. 123

Cell and atoms, written as extended XYZ:
```
5
Lattice="4.5398 0.0000 0.0000 0.0000 4.5398 0.0000 0.0000 0.0000 6.5238" Properties=species:S:1:pos:R:3 pbc="T T T"
I 2.2699 2.2699 3.2619
I 0.0000 0.0000 3.2619
N 0.0000 2.2699 0.0000
N 2.2699 0.0000 0.0000
In 0.0000 0.0000 0.0000
```

***

No. 6
## InIN (PBE)

Data for crystalline InIN at its relaxed geometry.

**SG**: No. 2

Cell and atoms, written as extended XYZ:
```
6
Lattice="-0.7573 1.3731 -3.4819 0.5317 -2.2342 -3.0912 -9.1232 -3.6328 11.0745" Properties=species:S:1:pos:R:3 pbc="T T T"
N -3.9969 -1.3066 -0.6666
N -5.3518 -3.1873 5.1681
In -3.8571 -1.0080 1.5146
In -5.4917 -3.4859 2.9868
I -8.2226 -3.3929 5.7277
I -1.1261 -1.1009 -1.2262
```

***

No. 7
## InIN3 (PBE)

Data for crystalline InIN3 at its relaxed geometry.

**SG**: No. 221

Cell and atoms, written as extended XYZ:
```
5
Lattice="4.3880 0.0000 0.0000 0.0000 4.3880 0.0000 0.0000 0.0000 4.3880" Properties=species:S:1:pos:R:3 pbc="T T T"
I 2.1940 2.1940 2.1940
N 0.0000 2.1940 0.0000
N 0.0000 0.0000 2.1940
N 2.1940 0.0000 0.0000
In 0.0000 0.0000 0.0000
```

***

No. 8
## InI2N2 (PBE)

Data for crystalline InI2N2 at its relaxed geometry.

**Polymorph energy (0 for the lowest one)**: 1.8083 eV/atom
**SG**: No. 123

Cell and atoms, written as extended XYZ:
```
5
Lattice="4.3554 0.0000 0.0000 0.0000 4.3554 0.0000 0.0000 0.0000 7.6203" Properties=species:S:1:pos:R:3 pbc="T T T"
I 0.0000 0.0000 0.0000
I 0.0000 0.0000 3.8101
N 0.0000 2.1777 0.0000
N 2.1777 0.0000 0.0000
In 2.1777 2.1777 3.8101
```

***

No. 9
## InI2N (PBE)

Data for crystalline InI2N at its relaxed geometry.

**Polymorph energy (0 for the lowest one)**: 0.3407 eV/atom
**SG**: No. 141

Cell and atoms, written as extended XYZ:
```
8
Lattice="-3.5163 3.5588 -5.3251 1.0316 -5.6809 -4.4777 -5.7335 -3.1262 -3.3160" Properties=species:S:1:pos:R:3 pbc="T T T"
I -2.6220 -0.1581 -3.3841
I -2.1082 -2.9965 -5.6260
I -4.9737 -4.5622 -7.2837
I -6.7324 -2.7797 -9.9438
N -1.2423 -1.0610 -4.9014
N -2.9721 -4.9341 -6.3476
In 0.0000 0.0000 0.0000
In -5.2461 -0.3142 -6.7713
```

***

No. 10
## InI3N2 (PBE)

Data for crystalline InI3N2 at its relaxed geometry.

**SG**: No. 15

Cell and atoms, written as extended XYZ:
```
12
Lattice="-1.8785 3.7077 -5.0595 10.6448 -9.7681 -11.1066 -4.2501 0.5196 -2.2777" Properties=species:S:1:pos:R:3 pbc="T T T"
In 2.1130 -3.6076 -14.9708
In 2.4032 -1.9331 -3.4730
I -2.7482 0.3664 -8.1793
I 7.2644 -5.9072 -10.2645
I -2.2549 0.0415 -3.3787
I 1.4465 -0.6902 -9.5258
I 3.0697 -4.8506 -8.9180
I 6.7711 -5.5823 -15.0651
N 4.0168 -4.1589 -13.5831
N -1.0496 0.2222 -7.3472
N 5.5657 -5.7630 -11.0966
N 0.4994 -1.3819 -4.8607
```

***

No. 11
## InI2N2 (PBE)

Data for crystalline InI2N2 at its relaxed geometry.

**Polymorph energy (0 for the lowest one)**: 1.8191 eV/atom
**SG**: No. 123

Cell and atoms, written as extended XYZ:
```
5
Lattice="5.9332 0.0000 0.0000 0.0000 5.9332 0.0000 0.0000 0.0000 4.0477" Properties=species:S:1:pos:R:3 pbc="T T T"
I 0.0000 2.9666 0.0000
I 2.9666 0.0000 0.0000
N 2.9666 2.9666 2.0238
N 0.0000 0.0000 2.0238
In 0.0000 0.0000 0.0000
```

***

No. 12
## InI2N (PBE)

Data for crystalline InI2N at its relaxed geometry.

**Polymorph energy (0 for the lowest one)**: 0.7957 eV/atom
**SG**: No. 225

Cell and atoms, written as extended XYZ:
```
4
Lattice="0.0000 3.8943 3.8943 3.8943 0.0000 3.8943 3.8943 3.8943 0.0000" Properties=species:S:1:pos:R:3 pbc="T T T"
I 1.9472 1.9472 1.9472
I 5.8415 5.8415 5.8415
N 0.0000 0.0000 0.0000
In 3.8943 3.8943 3.8943
```

***

We obtain formation energy without anion corrections values of 215; 1029; -229; 427; 1448; 299; 2176; 1579; 654; 757; 1590; 1109 meV per atom for the records listed above, in that order.